(1)
An optimized crystal structure of AgIr2. Source: Alexandria, functional GGA-PBE.

Structure (CIF):
```
data_AgIr2
_chemical_formula_sum 'Ag4 Ir8'
_cell_length_a 2.775
_cell_length_b 14.384
_cell_length_c 4.660
_cell_angle_alpha 90.00
_cell_angle_beta 90.00
_cell_angle_gamma 90.00
_space_group_name_H-M_alt 'P 1'
_space_group_IT_number 1
_space_group_name_Hall 'P 1'
loop_
_atom_site_label
_atom_site_type_symbol
_atom_site_fract_x
_atom_site_fract_y
_atom_site_fract_z
Ag1 Ag 0.000 0.109 0.250
Ag2 Ag 0.000 0.891 0.750
Ag3 Ag 0.500 0.391 0.750
Ag4 Ag 0.500 0.609 0.250
Ir1 Ir 0.000 0.219 0.750
Ir2 Ir 0.000 0.439 0.250
Ir3 Ir 0.000 0.561 0.750
Ir4 Ir 0.000 0.781 0.250
Ir5 Ir 0.500 0.061 0.750
Ir6 Ir 0.500 0.281 0.250
Ir7 Ir 0.500 0.719 0.750
Ir8 Ir 0.500 0.939 0.250
```

Computed properties:
- energy relative to the lowest polymorph listed for this composition (kJ/mol of formula units) = 71


(2)
An optimized crystal structure of AgIr. Source: Alexandria, functional GGA-PBE.

Structure (CIF):
```
data_AgIr
_chemical_formula_sum 'Ag4 Ir4'
_cell_length_a 5.903
_cell_length_b 5.903
_cell_length_c 5.903
_cell_angle_alpha 90.00
_cell_angle_beta 90.00
_cell_angle_gamma 90.00
_space_group_name_H-M_alt 'P 1'
_space_group_IT_number 1
_space_group_name_Hall 'P 1'
loop_
_atom_site_label
_atom_site_type_symbol
_atom_site_fract_x
_atom_site_fract_y
_atom_site_fract_z
Ag1 Ag 0.000 0.000 0.000
Ag2 Ag 0.000 0.500 0.500
Ag3 Ag 0.500 0.000 0.500
Ag4 Ag 0.500 0.500 0.000
Ir1 Ir 0.250 0.250 0.250
Ir2 Ir 0.250 0.750 0.750
Ir3 Ir 0.750 0.250 0.750
Ir4 Ir 0.750 0.750 0.250
```


(3)
An optimized crystal structure of AgIr. Source: Alexandria, functional GGA-PBE.

Structure (CIF):
```
data_AgIr
_chemical_formula_sum 'Ag2 Ir2'
_cell_length_a 2.765
_cell_length_b 4.502
_cell_length_c 5.151
_cell_angle_alpha 90.00
_cell_angle_beta 90.00
_cell_angle_gamma 90.00
_space_group_name_H-M_alt 'P 1'
_space_group_IT_number 1
_space_group_name_Hall 'P 1'
loop_
_atom_site_label
_atom_site_type_symbol
_atom_site_fract_x
_atom_site_fract_y
_atom_site_fract_z
Ag1 Ag 0.250 0.250 0.077
Ag2 Ag 0.750 0.750 0.923
Ir1 Ir 0.250 0.750 0.438
Ir2 Ir 0.750 0.250 0.562
```


Magnetic moment (μB per cell)
0.001, 6.243, 0.000
E_form (eV per formula unit)
1.4, 4.3, 0.7